{
  "formula": "Cu2Si2S",
  "functional": "GGA-PBEsol",
  "state": "relaxed",
  "n_ef_per_ev_cell": 2.901,
  "dft_energy_ev_per_atom": -4.6471,
  "formation_energy_uncorrected_ev_per_fu": 1.3,
  "lattice_angstrom": [[-2.379, 2.320, 1.152], [-2.283, -1.140, -2.420], [0.327, -4.498, 4.367]],
  "species": ["Si", "Si", "Cu", "Cu", "S"],
  "fractional_positions": [[0.750, 0.250, 0.500], [0.250, 0.750, 0.500], [0.395, 0.395, 0.791], [0.605, 0.605, 0.209], [0.000, 0.000, 0.000]]
}

=====

{
  "formula": "Sm3CuSiS7",
  "functional": "GGA-PBEsol",
  "state": "relaxed",
  "n_ef_per_ev_cell": 0.000,
  "dft_energy_ev_per_atom": -6.2757,
  "formation_energy_uncorrected_ev_per_fu": -19.3,
  "lattice_angstrom": [[-4.070, -1.102, 3.765], [2.441, -9.632, -0.181], [4.366, 6.111, 6.508]],
  "species": ["S", "S", "S", "S", "S", "S", "S", "S", "S", "S", "S", "S", "S", "S", "Sm", "Sm", "Sm", "Sm", "Sm", "Sm", "Si", "Si", "Cu", "Cu"],
  "fractional_positions": [[0.037, 0.667, 0.333], [0.018, 0.107, 0.522], [0.264, 0.165, 0.255], [0.518, 0.893, 0.478], [0.264, 0.745, 0.910], [0.018, 0.415, 0.893], [0.764, 0.910, 0.165], [0.264, 0.090, 0.835], [0.518, 0.522, 0.415], [0.018, 0.478, 0.585], [0.537, 0.333, 0.667], [0.518, 0.585, 0.107], [0.764, 0.835, 0.745], [0.764, 0.255, 0.090], [0.750, 0.643, 0.874], [0.750, 0.126, 0.769], [0.250, 0.874, 0.231], [0.250, 0.769, 0.643], [0.250, 0.357, 0.126], [0.750, 0.231, 0.357], [0.165, 0.333, 0.667], [0.665, 0.667, 0.333], [0.275, 0.000, 0.000], [0.775, 0.000, 0.000]]
}

=====

{
  "formula": "Tb3CuSiS7",
  "functional": "GGA-PBEsol",
  "state": "relaxed",
  "n_ef_per_ev_cell": 0.000,
  "dft_energy_ev_per_atom": -6.2495,
  "formation_energy_uncorrected_ev_per_fu": -19.2,
  "lattice_angstrom": [[-5.121, -2.249, 0.342], [3.970, -8.907, 0.861], [-1.813, 5.345, 7.998]],
  "species": ["Tb", "Tb", "Tb", "Tb", "Tb", "Tb", "S", "S", "S", "S", "S", "S", "S", "S", "S", "S", "S", "S", "S", "S", "Si", "Si", "Cu", "Cu"],
  "fractional_positions": [[0.754, 0.128, 0.771], [0.754, 0.229, 0.357], [0.254, 0.872, 0.229], [0.254, 0.357, 0.128], [0.754, 0.643, 0.872], [0.254, 0.771, 0.643], [0.517, 0.583, 0.104], [0.272, 0.742, 0.907], [0.542, 0.333, 0.667], [0.772, 0.835, 0.742], [0.017, 0.104, 0.521], [0.517, 0.896, 0.479], [0.517, 0.521, 0.417], [0.017, 0.417, 0.896], [0.042, 0.667, 0.333], [0.772, 0.258, 0.093], [0.272, 0.165, 0.258], [0.772, 0.907, 0.165], [0.017, 0.479, 0.583], [0.272, 0.093, 0.835], [0.667, 0.667, 0.333], [0.167, 0.333, 0.667], [0.287, 0.000, 0.000], [0.787, 0.000, 0.000]]
}

=====

{
  "formula": "Y3CuSiS7",
  "functional": "GGA-PBEsol",
  "state": "relaxed",
  "n_ef_per_ev_cell": 0.000,
  "dft_energy_ev_per_atom": -6.7038,
  "formation_energy_uncorrected_ev_per_fu": -19.2,
  "lattice_angstrom": [[-3.614, 2.350, 3.577], [-7.440, -4.078, -4.839], [4.218, -4.779, 7.401]],
  "species": ["S", "S", "S", "S", "S", "S", "S", "S", "S", "S", "S", "S", "S", "S", "Y", "Y", "Y", "Y", "Y", "Y", "Cu", "Cu", "Si", "Si"],
  "fractional_positions": [[0.020, 0.104, 0.521], [0.546, 0.333, 0.667], [0.778, 0.835, 0.742], [0.778, 0.258, 0.094], [0.520, 0.521, 0.417], [0.278, 0.165, 0.258], [0.278, 0.742, 0.906], [0.020, 0.479, 0.583], [0.046, 0.667, 0.333], [0.520, 0.896, 0.479], [0.520, 0.583, 0.104], [0.020, 0.417, 0.896], [0.778, 0.906, 0.165], [0.278, 0.094, 0.835], [0.258, 0.771, 0.643], [0.758, 0.128, 0.771], [0.258, 0.872, 0.229], [0.758, 0.229, 0.357], [0.758, 0.643, 0.872], [0.258, 0.357, 0.128], [0.794, 0.000, 0.000], [0.294, 0.000, 0.000], [0.671, 0.667, 0.333], [0.171, 0.333, 0.667]]
}

=====

{
  "formula": "SmCuS2",
  "functional": "GGA-PBEsol",
  "state": "relaxed",
  "dft_energy_ev_per_atom": -5.9900,
  "formation_energy_uncorrected_ev_per_fu": -5.8,
  "lattice_angstrom": [[6.319, 0.008, 0.000], [-0.860, 6.663, 0.000], [0.000, 0.000, 7.037]],
  "species": ["Sm", "Sm", "Sm", "Sm", "S", "S", "S", "S", "S", "S", "S", "S", "Cu", "Cu", "Cu", "Cu"],
  "fractional_positions": [[0.809, 0.699, 0.549], [0.809, 0.199, 0.951], [0.191, 0.801, 0.049], [0.191, 0.301, 0.451], [0.405, 0.222, 0.111], [0.084, 0.499, 0.775], [0.405, 0.722, 0.389], [0.595, 0.778, 0.889], [0.084, 0.999, 0.725], [0.916, 0.501, 0.225], [0.595, 0.278, 0.611], [0.916, 0.001, 0.275], [0.428, 0.949, 0.663], [0.572, 0.051, 0.337], [0.428, 0.449, 0.837], [0.572, 0.551, 0.163]]
}

=====

{
  "formula": "Cu2SnS3",
  "functional": "GGA-PBEsol",
  "state": "relaxed",
  "n_ef_per_ev_cell": 2.070,
  "dft_energy_ev_per_atom": -4.6959,
  "formation_energy_uncorrected_ev_per_fu": -2.1,
  "lattice_angstrom": [[6.600, -0.007, 0.000], [-2.226, 6.213, 0.000], [-2.187, -3.103, 11.405]],
  "species": ["S", "S", "S", "S", "S", "S", "S", "S", "S", "S", "S", "S", "Cu", "Cu", "Cu", "Cu", "Cu", "Cu", "Cu", "Cu", "Sn", "Sn", "Sn", "Sn"],
  "fractional_positions": [[0.846, 0.285, 0.666], [0.608, 0.521, 0.157], [0.042, 0.442, 0.988], [0.296, 0.196, 0.488], [0.804, 0.704, 0.512], [0.479, 0.392, 0.843], [0.715, 0.154, 0.334], [0.131, 0.070, 0.166], [0.930, 0.869, 0.834], [0.558, 0.958, 0.012], [0.201, 0.614, 0.343], [0.386, 0.799, 0.657], [0.162, 0.838, 0.500], [0.495, 0.157, 0.167], [0.412, 0.588, 0.000], [0.760, 0.922, 0.667], [0.843, 0.505, 0.833], [0.667, 0.333, 0.500], [0.917, 0.083, 0.000], [0.078, 0.240, 0.333], [0.322, 0.987, 0.842], [0.605, 0.771, 0.342], [0.013, 0.678, 0.158], [0.229, 0.395, 0.658]]
}